Density functional theory data (PBE) for LaHo2Zr after structural relaxation.

Cell lengths 5.5337, 5.5337, 5.5337 Å; angles 60.00, 60.00, 60.00 degrees
With the nearest neighbours (Å) after each atom.
Fractional positions:
La (0.0000, 0.0000, 0.0000)  8 Ho 3.39
Ho (0.7500, 0.7500, 0.7500)  4 Zr 3.39, 4 La 3.39
Ho (0.2500, 0.2500, 0.2500)  4 La 3.39, 4 Zr 3.39
Zr (0.5000, 0.5000, 0.5000)  8 Ho 3.39

Summary:
Formation energy from the elements in eV/atom: 0.22
Spin magnetization in Bohr magnetons per cell: 0.78
Volume in Å³/f.u.: 119.8
Calculated total energy in eV/atom: -5.442
Offset from the most stable computed form in meV/atom: 131

Density functional theory data (PBE) for LaHoZr after structural relaxation.

Cell lengths 5.4435, 5.4435, 6.7663 Å; angles 90.00, 90.00, 60.00 degrees
With the nearest neighbours (Å) after each atom.
Fractional positions:
La (0.9621, 0.3119, 0.2908)  3 La 3.14, 2 Zr 3.38
La (0.6288, 0.9786, 0.2908)  3 La 3.14, 2 Zr 3.38
Ho (0.2954, 0.6453, 0.0234)  1 Ho 3.15, 6 Zr 3.51-3.52
Ho (0.2954, 0.6453, 0.5582)  1 Ho 3.15, 6 Zr 3.51-3.52
Zr (0.9621, 0.3120, 0.7908)  3 Zr 3.14, 2 La 3.38, 6 Ho 3.51
Zr (0.6287, 0.9786, 0.7908)  3 Zr 3.14, 2 La 3.38, 6 Ho 3.51-3.52

Summary:
Formation energy from the elements in eV/atom: 0.13
Spin magnetization in Bohr magnetons per cell: 0.00
Volume in Å³/f.u.: 86.8
Calculated total energy in eV/atom: -5.884
Offset from the most stable computed form in meV/atom: 29

Density functional theory data (PBE) for La2HoZr after structural relaxation.

Cell lengths 3.4232, 3.4232, 12.3661 Å; angles 82.04, 82.04, 60.00 degrees
With the nearest neighbours (Å) after each atom.
Fractional positions:
Ho (0.5000, 0.5000, 0.5000)  6 Ho 3.42, 6 La 3.62
La (0.0839, 0.0839, 0.7482)  1 Zr 3.07, 6 La 3.42
La (0.9161, 0.9161, 0.2518)  1 Zr 3.07, 6 La 3.42
Zr (0.0000, 0.0000, 0.0000)  2 La 3.07, 6 Zr 3.42

Summary:
Formation energy from the elements in eV/atom: 0.31
Spin magnetization in Bohr magnetons per cell: 0.00
Volume in Å³/f.u.: 123.9
Calculated total energy in eV/atom: -5.435
Offset from the most stable computed form in meV/atom: 181

Question: Which formula does entry 3 have?
Answer: La2HoZr

Please write out number 2 again, unchanged.
Density functional theory data (PBE) for LaHoZr after structural relaxation.

Cell lengths 5.4435, 5.4435, 6.7663 Å; angles 90.00, 90.00, 60.00 degrees
With the nearest neighbours (Å) after each atom.
Fractional positions:
La (0.9621, 0.3119, 0.2908)  3 La 3.14, 2 Zr 3.38
La (0.6288, 0.9786, 0.2908)  3 La 3.14, 2 Zr 3.38
Ho (0.2954, 0.6453, 0.0234)  1 Ho 3.15, 6 Zr 3.51-3.52
Ho (0.2954, 0.6453, 0.5582)  1 Ho 3.15, 6 Zr 3.51-3.52
Zr (0.9621, 0.3120, 0.7908)  3 Zr 3.14, 2 La 3.38, 6 Ho 3.51
Zr (0.6287, 0.9786, 0.7908)  3 Zr 3.14, 2 La 3.38, 6 Ho 3.51-3.52

Summary:
Formation energy from the elements in eV/atom: 0.13
Spin magnetization in Bohr magnetons per cell: 0.00
Volume in Å³/f.u.: 86.8
Calculated total energy in eV/atom: -5.884
Offset from the most stable computed form in meV/atom: 29